CoAgN2F | Alexandria | PBE+U | relaxed; size of the total moment = 5.1 μB/cell; DOS(E_F) = 2.31 states/eV/f.u.; total energy = -18.86 eV/cell; energy above the lowest structure with this stoichiometry = 788.3 meV/atom; SG = P4/mmm, No. 123; calculated density = 4.963 Mg/m³; crystal system = tetragonal
1.0
4.0495 0.0000 0.0000
0.0000 4.0495 0.0000
0.0000 0.0000 4.3622
Co Ag N F
1 1 2 1
Cartesian
0.0000 0.0000 0.0000
2.0247 2.0247 2.1811
0.0000 2.0247 2.1811
2.0247 0.0000 2.1811
2.0247 2.0247 0.0000